Entry 1:
Entry from Alexandria via LeMat-Bulk: crystalline CsRb3In2Br6 at its relaxed geometry (GGA-PBE).

The space group is C2/m (No. 12) and the conventional cell measures 21.526, 4.940 and 9.870 Å, with angles of 90.00, 103.38 and 90.00 degrees. Symmetry generates all atoms from Cs at (0.000, 0.000, 0.000), Rb at (0.000, 0.000, 0.500), Rb at (0.167, 0.500, 0.830), In at (0.170, 0.500, 0.336), Br at (0.001, 0.500, 0.263), Br at (0.171, 0.000, 0.092) and Br at (0.172, 0.000, 0.576).

As for the density of states at the Fermi level: 0.00 states/eV per cell. The calculation puts the uncorrected formation energy at -16.54 eV per formula unit.

---

Entry 2:
Entry from Alexandria via LeMat-Bulk: crystalline TaCu2Au at its relaxed geometry (GGA-PBE).

The space group is I-4m2 (No. 119) and the conventional cell measures 4.157, 4.157 and 6.997 Å, with angles of 90.00, 90.00 and 90.00 degrees. Symmetry generates all atoms from Ta at (0.000, 0.000, 0.000), Cu at (0.000, 0.000, 0.500), Cu at (0.000, 0.500, 0.250) and Au at (0.000, 0.500, 0.750).

As for the density of states at the Fermi level: 3.87 states/eV per cell. The energy above the most stable polymorph in this dataset is 0.248 eV per formula unit. The energy of formation from the pure elements comes out at 0.088 eV/atom.

---

Entry 3:
Entry from Alexandria via LeMat-Bulk: crystalline CuAs2WSe at its relaxed geometry (GGA-PBE).

The space group is P4/mmm (No. 123) and the conventional cell measures 4.937, 4.937 and 4.831 Å, with angles of 90.00, 90.00 and 90.00 degrees. Symmetry generates all atoms from Cu at (0.000, 0.000, 0.000), As at (0.000, 0.500, 0.500), W at (0.500, 0.500, 0.500) and Se at (0.500, 0.500, 0.000).

As for the density of states at the Fermi level: 3.35 states/eV per cell. The energy above the most stable polymorph in this dataset is 0.000 eV per formula unit. The calculation puts the uncorrected formation energy at 3.71 eV per formula unit.

---

Entry 4:
Entry from Alexandria via LeMat-Bulk: crystalline Si2GeW at its relaxed geometry (GGA-PBE).

The space group is I-42d (No. 122) and the conventional cell measures 5.781, 5.781 and 10.750 Å, with angles of 90.00, 90.00 and 90.00 degrees. Symmetry generates all atoms from Si at (0.246, 0.250, 0.125), Ge at (0.000, 0.000, 0.500) and W at (0.000, 0.000, 0.000).

As for the density of states at the Fermi level: 9.10 states/eV per cell. The calculation puts the uncorrected formation energy at 3.34 eV per formula unit.

---

Entry 5:
Entry from Alexandria via LeMat-Bulk: crystalline BeP4Os at its relaxed geometry (GGA-PBE).

The space group is F-43m (No. 216) and the conventional cell measures 6.869, 6.869 and 6.869 Å, with angles of 90.00, 90.00 and 90.00 degrees. Symmetry generates all atoms from Be at (0.000, 0.000, 0.000), P at (0.127, 0.127, 0.627) and Os at (0.250, 0.250, 0.250).

As for the density of states at the Fermi level: 15.94 states/eV per cell. The energy of formation from the pure elements comes out at 1.061 eV/atom.

---

Entry 6:
Entry from Alexandria via LeMat-Bulk: crystalline Ni6Pb at its relaxed geometry (GGA-PBE).

The space group is Im-3m (No. 229) and the conventional cell measures 6.261, 6.261 and 6.261 Å, with angles of 90.00, 90.00 and 90.00 degrees. Symmetry generates all atoms from Ni at (0.000, 0.250, 0.500) and Pb at (0.000, 0.000, 0.000).

As for the density of states at the Fermi level: 10.47 states/eV per cell. The energy of formation from the pure elements comes out at 0.799 eV/atom.

---

Entry 7:
Entry from Alexandria via LeMat-Bulk: crystalline Th2Zn2Cd at its relaxed geometry (GGA-PBE).

The space group is Cmmm (No. 65) and the conventional cell measures 4.633, 15.109 and 3.457 Å, with angles of 90.00, 90.00 and 90.00 degrees. Symmetry generates all atoms from Th at (0.000, 0.126, 0.000), Zn at (0.000, 0.298, 0.500) and Cd at (0.000, 0.500, 0.500).

As for the density of states at the Fermi level: 7.52 states/eV per cell. The energy of formation from the pure elements comes out at -0.205 eV/atom.

---

Entry 8:
Entry from Alexandria via LeMat-Bulk: crystalline Y3GaSeCl at its relaxed geometry (GGA-PBE).

The space group is P2_1/m (No. 11) and the conventional cell measures 8.651, 3.893 and 9.599 Å, with angles of 90.00, 105.47 and 90.00 degrees. Symmetry generates all atoms from Y at (0.153, 0.250, 0.479), Y at (0.162, 0.250, 0.096), Y at (0.331, 0.750, 0.830), Ga at (0.047, 0.250, 0.760), Se at (0.412, 0.750, 0.141) and Cl at (0.376, 0.750, 0.555).

As for the density of states at the Fermi level: 7.76 states/eV per cell. The calculation puts the uncorrected formation energy at -7.54 eV per formula unit.

---

Quick rundown of electronic total energy, same order as above: -2.984 -5.742 -5.224 -6.270 -5.039 -4.686 -3.866 -5.882 eV per atom